Compound: Ba2YNb
Source: the Alexandria database
Functional: PBE
Structure: optimized geometry

Calculated values
Formation energy from the elements, meV per atom: 978
Space-group type: I-42d
Total DFT energy (no corrections), eV per cell: -32.93

```
Ba2YNb
1.0
-4.9445 -2.3560 -10.7140
-4.5688 -10.2419 4.3607
-6.9896 -4.9870 -2.4346
Y Nb Ba
2 2 4
Cartesian
-4.7566 -6.2990 -3.1766
-8.1575 -10.7640 -0.6253
0.0000 0.0000 0.0000
-8.3453 -6.8210 -8.1626
-9.7439 -6.1948 -11.0333
-9.3576 -9.9136 -8.1860
-6.2166 -4.3844 -8.5102
-8.0632 -6.7912 -4.9209
```

Compound: BaY2Nb
Source: the Alexandria database
Functional: PBE
Structure: optimized geometry

Calculated values
Formation energy from the elements, meV per atom: 607
Space-group type: Fm-3m
Total DFT energy (no corrections), eV per cell: -22.49

```
BaY2Nb
1.0
5.3939 -1.1130 0.9470
3.3238 3.9301 2.1763
1.8693 -0.5104 5.2416
Nb Y Ba
1 2 1
Cartesian
0.0000 0.0000 0.0000
7.9402 1.7300 6.2737
2.6467 0.5767 2.0912
5.2935 1.1533 4.1825
```